# Dy4CdSbC2, relaxed, DFT PBE
data_Dy4CdSbC2
_chemical_formula_sum 'Dy4 Cd1 Sb1 C2'
_cell_length_a 3.6036
_cell_length_b 3.6036
_cell_length_c 15.8672
_cell_angle_alpha 90.00
_cell_angle_beta 90.00
_cell_angle_gamma 120.00
_space_group_name_H-M_alt 'P -6 m 2'
_space_group_IT_number 187
_space_group_name_Hall 'P -6 2'
loop_
_atom_site_label
_atom_site_fract_x
_atom_site_fract_y
_atom_site_fract_z
Dy1 0.0000 0.0000 0.1582
Dy2 0.3333 0.6667 0.3281
Cd1 0.0000 0.0000 0.5000
Sb1 0.3333 0.6667 0.0000
C1 0.6667 0.3333 0.2425
# - E (eV/cell) = -45.59
# - calculated volume (A^3/atom) = 22.3